Entry 1:
This record from the Alexandria database describes Rb4IO6 after structural relaxation. The functional is PBE.

Results
DOS(E_F): 20.75 states/eV per cell
magnetic moment: 0.10 μB per atom

Cell: 7.803 7.803 7.803 Å, 91.82 91.82 88.18°
Each line ends with the local moment (μB).
Fractional positions:
I  0.500  0.500  0.500  -0.03
I  0.000  0.000  0.000  -0.03
O  0.230  0.943  0.936  0.15
O  0.436  0.557  0.730  0.15
O  0.443  0.730  0.436  0.15
O  0.270  0.436  0.443  0.15
O  0.943  0.064  0.770  0.15
O  0.057  0.936  0.230  0.15
O  0.936  0.770  0.943  0.15
O  0.557  0.270  0.564  0.15
O  0.564  0.443  0.270  0.15
O  0.064  0.230  0.057  0.15
O  0.770  0.057  0.064  0.15
O  0.730  0.564  0.557  0.15
Rb  0.391  0.109  0.250  0.00
Rb  0.750  0.391  0.891  0.00
Rb  0.250  0.609  0.109  0.00
Rb  0.750  0.750  0.250  0.00
Rb  0.109  0.750  0.609  0.00
Rb  0.891  0.250  0.391  0.00
Rb  0.250  0.250  0.750  0.00
Rb  0.609  0.891  0.750  0.00

***

Entry 2:
This record from the Alexandria database describes RbI3O6 after structural relaxation. The functional is PBE.

Results
DOS(E_F): 4.39 states/eV per cell
magnetic moment: 0.21 μB per atom

Cell: 4.327 7.999 7.999 Å, 116.82 100.39 100.39°
Each line ends with the local moment (μB).
Fractional positions:
I  0.324  0.508  0.508  0.17
I  0.816  0.000  0.492  0.17
I  0.816  0.492  0.000  0.17
O  0.604  0.731  0.731  0.15
O  0.226  0.610  0.000  0.18
O  0.226  0.000  0.610  0.18
O  0.872  0.000  0.269  0.15
O  0.616  0.390  0.390  0.18
O  0.872  0.269  0.000  0.15
Rb  0.290  0.000  0.000  0.00

***

Entry 3:
This record from the Alexandria database describes Rb12IO6 after structural relaxation. The functional is PBE.

Results
DOS(E_F): 21.16 states/eV per cell
magnetic moment: 0.07 μB per atom

Cell: 8.775 8.775 8.775 Å, 107.38 107.38 107.38°
Each line ends with the local moment (μB).
Fractional positions:
Rb  0.118  0.500  0.882  0.00
Rb  0.440  0.168  0.440  0.00
Rb  0.118  0.882  0.500  0.00
Rb  0.882  0.118  0.500  0.00
Rb  0.560  0.560  0.832  0.00
Rb  0.168  0.440  0.440  0.00
Rb  0.882  0.500  0.118  0.00
Rb  0.560  0.832  0.560  0.00
Rb  0.440  0.440  0.168  0.00
Rb  0.500  0.118  0.882  0.00
Rb  0.500  0.882  0.118  0.00
Rb  0.832  0.560  0.560  0.00
O  0.650  0.254  0.254  0.17
O  0.746  0.350  0.746  0.17
O  0.254  0.650  0.254  0.17
O  0.746  0.746  0.350  0.17
O  0.350  0.746  0.746  0.17
O  0.254  0.254  0.650  0.17
I  0.000  0.000  0.000  0.00

***

Entry 4:
This record from the Alexandria database describes Rb2IO2 after structural relaxation. The functional is PBE.

Results
DOS(E_F): 0.94 states/eV per cell
magnetic moment: 0.20 μB per atom

Cell: 4.835 4.835 9.589 Å, 61.05 61.05 66.81°
Each line ends with the local moment (μB).
Fractional positions:
O  0.873  0.127  0.500  0.40
O  0.127  0.873  0.500  0.40
Rb  0.561  0.561  0.709  0.00
Rb  0.439  0.439  0.291  0.00
I  0.000  0.000  0.000  0.00

***

no.,formation energy (no corrections) (eV/atom),calculated density (g cm⁻³)
1,-1.081,3.953
2,-0.330,4.024
3,-0.881,3.724
4,-1.093,3.263